Record 1
Density functional theory data (PBE) for crystalline Nd2NiSn6 at its relaxed geometry.

Lattice parameters (Å, degrees): 4.251 7.693 8.501 116.91 90.00 90.00
Fractional positions:
Sn: 0.500 0.219 0.000
Sn: 0.000 0.963 0.302
Sn: 0.500 0.781 0.000
Sn: 0.000 0.661 0.698
Sn: 0.000 0.037 0.698
Sn: 0.000 0.339 0.302
Ni: 0.000 0.000 0.000
Nd: 0.500 0.684 0.369
Nd: 0.500 0.316 0.631

- formation energy (eV per atom) = -0.350
- final energy (eV/atom) = -4.720
- space group = No. 65
- E above lowest polymorph (eV per atom) = 0.1555
- DOS(E_F) (states/eV/f.u.) = 5.83

Record 2
Density functional theory data (PBE) for crystalline Nd2ZnNi4Sn3 at its relaxed geometry.

Lattice parameters (Å, degrees): 4.418 4.418 9.983 90.00 90.00 90.00
Fractional positions:
Nd: 0.500 0.000 0.244
Nd: 0.000 0.500 0.756
Sn: 0.500 0.000 0.870
Sn: 0.000 0.000 0.500
Sn: 0.000 0.500 0.130
Zn: 0.500 0.500 0.500
Ni: 0.500 0.000 0.620
Ni: 0.000 0.000 0.000
Ni: 0.000 0.500 0.380
Ni: 0.500 0.500 0.000

- formation energy (eV per atom) = -0.487
- final energy (eV/atom) = -5.081
- space group = No. 115
- DOS(E_F) (states/eV/f.u.) = 8.29

Record 3
Density functional theory data (PBE) for crystalline Nd2Zn2Ni5Sn at its relaxed geometry.

Lattice parameters (Å, degrees): 3.646 9.547 9.547 90.00 90.00 90.00
Fractional positions:
Ni: 0.500 0.000 0.500
Ni: 0.500 0.785 0.939
Ni: 0.500 0.715 0.439
Ni: 0.500 0.061 0.785
Ni: 0.500 0.561 0.715
Ni: 0.500 0.939 0.215
Ni: 0.500 0.500 0.000
Ni: 0.500 0.439 0.285
Ni: 0.500 0.215 0.061
Ni: 0.500 0.285 0.561
Nd: 0.000 0.818 0.682
Nd: 0.000 0.318 0.818
Nd: 0.000 0.682 0.182
Nd: 0.000 0.182 0.318
Zn: 0.000 0.886 0.386
Zn: 0.000 0.614 0.886
Zn: 0.000 0.114 0.614
Zn: 0.000 0.386 0.114
Sn: 0.000 0.500 0.500
Sn: 0.000 0.000 0.000

- formation energy (eV per atom) = -0.254
- final energy (eV/atom) = -4.753
- space group = No. 127
- DOS(E_F) (states/eV/f.u.) = 4.39

Record 4
Density functional theory data (PBE) for crystalline NdZnNi4Sn2 at its relaxed geometry.

Lattice parameters (Å, degrees): 4.282 4.282 8.836 75.98 75.98 60.00
Fractional positions:
Zn: 0.500 0.500 0.500
Sn: 0.241 0.241 0.276
Sn: 0.759 0.759 0.724
Nd: 0.000 0.000 0.000
Ni: 0.595 0.595 0.214
Ni: 0.405 0.405 0.786
Ni: 0.135 0.135 0.594
Ni: 0.865 0.865 0.406

- formation energy (eV per atom) = -0.321
- final energy (eV/atom) = -4.968
- space group = No. 166
- DOS(E_F) (states/eV/f.u.) = 5.49

Record 5
Density functional theory data (PBE) for crystalline SrNd3Ni at its relaxed geometry.

Lattice parameters (Å, degrees): 5.615 5.615 5.615 90.00 90.00 90.00
Fractional positions:
Nd: 0.000 0.500 0.000
Nd: 0.500 0.000 0.000
Nd: 0.000 0.000 0.500
Ni: 0.000 0.000 0.000
Sr: 0.500 0.500 0.500

- formation energy (eV per atom) = 0.016
- final energy (eV/atom) = -4.338
- space group = No. 221
- DOS(E_F) (states/eV/f.u.) = 11.24

Record 6
Density functional theory data (PBE) for crystalline SrNd2Ni9 at its relaxed geometry.

Lattice parameters (Å, degrees): 5.101 5.101 8.691 72.93 72.93 60.00
Site moments in Bohr magnetons follow the coordinates.
Fractional positions:
Sr: 0.000 0.000 0.000  -0.01
Ni: 0.082 0.581 0.756  0.19
Ni: 0.918 0.419 0.244  0.19
Ni: 0.332 0.332 0.003  0.32
Ni: 0.419 0.419 0.244  0.19
Ni: 0.668 0.668 0.997  0.32
Ni: 0.419 0.918 0.244  0.19
Ni: 0.581 0.082 0.756  0.19
Ni: 0.500 0.500 0.500  0.08
Ni: 0.581 0.581 0.756  0.19
Nd: 0.862 0.862 0.415  -0.04
Nd: 0.138 0.138 0.585  -0.04

- formation energy (eV per atom) = -0.202
- final energy (eV/atom) = -5.473
- space group = No. 166
- DOS(E_F) (states/eV/f.u.) = 12.10

Record 7
Density functional theory data (PBE) for crystalline Sr2NdNi9 at its relaxed geometry.

Lattice parameters (Å, degrees): 5.090 5.090 8.836 73.26 73.26 60.00
Site moments in Bohr magnetons follow the coordinates.
Fractional positions:
Ni: 0.576 0.082 0.766  0.27
Ni: 0.918 0.424 0.234  0.27
Ni: 0.332 0.332 0.004  0.32
Ni: 0.576 0.576 0.766  0.27
Ni: 0.082 0.576 0.766  0.27
Ni: 0.500 0.500 0.500  0.12
Ni: 0.668 0.668 0.996  0.32
Ni: 0.424 0.918 0.234  0.27
Ni: 0.424 0.424 0.234  0.27
Sr: 0.141 0.141 0.577  -0.02
Sr: 0.859 0.859 0.423  -0.02
Nd: 0.000 0.000 0.000  -0.05

- formation energy (eV per atom) = -0.119
- final energy (eV/atom) = -5.133
- space group = No. 166
- DOS(E_F) (states/eV/f.u.) = 12.03

Record 8
Density functional theory data (PBE) for crystalline SrNdNi10 at its relaxed geometry.

Lattice parameters (Å, degrees): 3.951 5.016 8.680 90.00 90.00 90.00
Site moments in Bohr magnetons follow the coordinates.
Fractional positions:
Ni: 0.000 0.000 0.337  0.33
Ni: 0.500 0.747 0.255  0.44
Ni: 0.000 0.500 0.828  0.38
Ni: 0.500 0.000 0.500  0.41
Ni: 0.500 0.747 0.745  0.44
Ni: 0.500 0.253 0.745  0.44
Ni: 0.500 0.253 0.255  0.44
Ni: 0.000 0.500 0.172  0.38
Ni: 0.000 0.000 0.663  0.33
Ni: 0.500 0.500 0.000  0.45
Sr: 0.000 0.000 0.000  -0.03
Nd: 0.000 0.500 0.500  -0.07

- formation energy (eV per atom) = -0.146
- final energy (eV/atom) = -5.501
- space group = No. 47
- DOS(E_F) (states/eV/f.u.) = 15.96

Record 9
Density functional theory data (PBE) for crystalline SrNdZnNi at its relaxed geometry.

Lattice parameters (Å, degrees): 5.176 5.176 5.176 60.00 60.00 60.00
Fractional positions:
Sr: 0.500 0.500 0.500
Nd: 0.000 0.000 0.000
Zn: 0.750 0.750 0.750
Ni: 0.250 0.250 0.250

- formation energy (eV per atom) = -0.087
- final energy (eV/atom) = -3.463
- space group = No. 216
- DOS(E_F) (states/eV/f.u.) = 2.81

Record 10
Density functional theory data (PBE) for crystalline NdTaNi2 at its relaxed geometry.

Lattice parameters (Å, degrees): 4.262 4.262 5.547 67.41 67.41 60.00
Fractional positions:
Ni: 0.802 0.802 0.594
Ni: 0.198 0.198 0.406
Ta: 0.500 0.500 0.500
Nd: 0.000 0.000 0.000

- formation energy (eV per atom) = -0.190
- final energy (eV/atom) = -7.236
- space group = No. 166
- E above lowest polymorph (eV per atom) = 0.0000
- DOS(E_F) (states/eV/f.u.) = 1.80

Record 11
Density functional theory data (PBE) for crystalline NdTaNi2 at its relaxed geometry.

Lattice parameters (Å, degrees): 3.196 3.196 6.963 90.00 90.00 90.00
Fractional positions:
Nd: 0.500 0.500 0.500
Ni: 0.000 0.000 0.816
Ni: 0.000 0.000 0.184
Ta: 0.500 0.500 0.000

- formation energy (eV per atom) = -0.169
- final energy (eV/atom) = -7.214
- space group = No. 123
- E above lowest polymorph (eV per atom) = 0.0216
- DOS(E_F) (states/eV/f.u.) = 3.42

Record 12
Density functional theory data (PBE) for crystalline TbNdNi2 at its relaxed geometry.

Lattice parameters (Å, degrees): 3.442 3.442 6.881 90.00 90.00 90.00
Fractional positions:
Ni: 0.000 0.000 0.765
Ni: 0.000 0.000 0.235
Tb: 0.500 0.500 0.000
Nd: 0.500 0.500 0.500

- formation energy (eV per atom) = -0.291
- final energy (eV/atom) = -5.531
- space group = No. 123
- E above lowest polymorph (eV per atom) = 0.0858
- DOS(E_F) (states/eV/f.u.) = 4.22

Record 13
Density functional theory data (PBE) for crystalline Tb3Nd3Ni4 at its relaxed geometry.

Lattice parameters (Å, degrees): 3.859 7.716 7.716 90.73 90.00 90.00
Fractional positions:
Ni: 0.000 0.621 0.379
Ni: 0.000 0.113 0.127
Ni: 0.000 0.387 0.613
Ni: 0.000 0.873 0.887
Nd: 0.000 0.006 0.498
Nd: 0.500 0.159 0.841
Nd: 0.000 0.502 0.994
Tb: 0.500 0.832 0.168
Tb: 0.500 0.340 0.332
Tb: 0.500 0.668 0.660

- formation energy (eV per atom) = -0.255
- final energy (eV/atom) = -5.387
- space group = No. 38
- DOS(E_F) (states/eV/f.u.) = 9.26

Record 14
Density functional theory data (PBE) for crystalline TbNdNi2 at its relaxed geometry.

Lattice parameters (Å, degrees): 4.871 4.871 4.871 60.00 60.00 60.00
Fractional positions:
Nd: 0.500 0.500 0.500
Ni: 0.250 0.250 0.250
Ni: 0.750 0.750 0.750
Tb: 0.000 0.000 0.000

- formation energy (eV per atom) = -0.288
- final energy (eV/atom) = -5.528
- space group = No. 225
- E above lowest polymorph (eV per atom) = 0.0886
- DOS(E_F) (states/eV/f.u.) = 4.59

Record 15
Density functional theory data (PBE) for crystalline Tb2Nd3Ni2 at its relaxed geometry.

Lattice parameters (Å, degrees): 3.740 6.346 8.842 101.93 102.29 107.06
Fractional positions:
Nd: 0.815 0.198 0.429
Nd: 0.185 0.802 0.571
Nd: 0.500 0.000 0.000
Ni: 0.054 0.885 0.223
Ni: 0.946 0.115 0.777
Tb: 0.641 0.470 0.809
Tb: 0.359 0.530 0.191

- formation energy (eV per atom) = -0.187
- final energy (eV/atom) = -5.205
- space group = No. 2
- DOS(E_F) (states/eV/f.u.) = 9.87

Record 16
Density functional theory data (PBE) for crystalline Tb3NdNi2 at its relaxed geometry.

Lattice parameters (Å, degrees): 3.917 8.351 9.970 77.85 78.67 76.44
Fractional positions:
Nd: 0.849 0.557 0.745
Nd: 0.151 0.443 0.255
Tb: 0.155 0.938 0.752
Tb: 0.416 0.729 0.439
Tb: 0.418 0.220 0.944
Tb: 0.584 0.271 0.561
Tb: 0.582 0.780 0.056
Tb: 0.845 0.062 0.248
Ni: 0.232 0.084 0.452
Ni: 0.768 0.916 0.548
Ni: 0.769 0.414 0.049
Ni: 0.231 0.586 0.951

- formation energy (eV per atom) = -0.257
- final energy (eV/atom) = -5.293
- space group = No. 12
- DOS(E_F) (states/eV/f.u.) = 6.90

Record 17
Density functional theory data (PBE) for crystalline TbNd3Ni2 at its relaxed geometry.

Lattice parameters (Å, degrees): 3.968 8.504 10.057 77.76 78.62 76.51
Fractional positions:
Tb: 0.158 0.435 0.248
Tb: 0.842 0.565 0.752
Nd: 0.417 0.227 0.938
Nd: 0.846 0.061 0.248
Nd: 0.581 0.282 0.556
Nd: 0.154 0.939 0.752
Nd: 0.583 0.773 0.062
Nd: 0.419 0.718 0.444
Ni: 0.232 0.087 0.448
Ni: 0.768 0.913 0.552
Ni: 0.233 0.584 0.950
Ni: 0.767 0.416 0.050

- formation energy (eV per atom) = -0.227
- final energy (eV/atom) = -5.310
- space group = No. 12
- DOS(E_F) (states/eV/f.u.) = 7.39

Record 18
Density functional theory data (PBE) for crystalline Tb2NdNi6 at its relaxed geometry.

Lattice parameters (Å, degrees): 3.791 6.978 6.978 120.00 90.00 90.00
Site moments in Bohr magnetons follow the coordinates.
Fractional positions:
Ni: 0.500 0.335 0.000  0.15
Ni: 0.500 0.000 0.665  0.15
Ni: 0.500 0.335 0.335  0.15
Ni: 0.500 0.665 0.000  0.15
Ni: 0.500 0.000 0.335  0.15
Ni: 0.500 0.665 0.665  0.15
Tb: 0.000 0.333 0.667  -0.01
Tb: 0.000 0.667 0.333  -0.01
Nd: 0.000 0.000 0.000  -0.01

- formation energy (eV per atom) = -0.359
- final energy (eV/atom) = -5.772
- space group = No. 191
- DOS(E_F) (states/eV/f.u.) = 9.43

Record 19
Density functional theory data (PBE) for crystalline TbNd2Ni6 at its relaxed geometry.

Lattice parameters (Å, degrees): 3.934 6.941 6.941 120.00 90.00 90.00
Site moments in Bohr magnetons follow the coordinates.
Fractional positions:
Ni: 0.500 0.668 0.668  0.13
Ni: 0.500 0.668 0.000  0.13
Ni: 0.500 0.000 0.668  0.13
Ni: 0.500 0.332 0.332  0.13
Ni: 0.500 0.332 0.000  0.13
Ni: 0.500 0.000 0.332  0.13
Tb: 0.000 0.000 0.000  -0.01
Nd: 0.000 0.333 0.667  -0.01
Nd: 0.000 0.667 0.333  -0.01

- formation energy (eV per atom) = -0.336
- final energy (eV/atom) = -5.764
- space group = No. 191
- DOS(E_F) (states/eV/f.u.) = 9.85

Record 20
Density functional theory data (PBE) for crystalline Tb4NdNi4 at its relaxed geometry.

Lattice parameters (Å, degrees): 5.647 8.630 8.630 90.00 90.00 90.00
Fractional positions:
Tb: 0.096 0.181 0.589
Tb: 0.404 0.681 0.089
Tb: 0.596 0.911 0.681
Tb: 0.096 0.819 0.411
Tb: 0.596 0.089 0.319
Tb: 0.404 0.319 0.911
Tb: 0.904 0.411 0.181
Tb: 0.904 0.589 0.819
Ni: 0.110 0.136 0.281
Ni: 0.610 0.219 0.636
Ni: 0.110 0.864 0.719
Ni: 0.390 0.636 0.781
Ni: 0.890 0.719 0.136
Ni: 0.390 0.364 0.219
Ni: 0.610 0.781 0.364
Ni: 0.890 0.281 0.864
Nd: 0.500 0.500 0.500
Nd: 0.000 0.000 0.000

- formation energy (eV per atom) = -0.240
- final energy (eV/atom) = -5.397
- space group = No. 86
- DOS(E_F) (states/eV/f.u.) = 8.09

Record 21
Density functional theory data (PBE) for crystalline TbNdNi at its relaxed geometry.

Lattice parameters (Å, degrees): 3.623 6.509 8.154 113.11 102.87 90.03
Fractional positions:
Nd: 0.784 0.483 0.065
Nd: 0.032 0.732 0.572
Ni: 0.908 0.922 0.319
Ni: 0.908 0.293 0.319
Tb: 0.287 0.988 0.075
Tb: 0.529 0.227 0.562

- formation energy (eV per atom) = -0.103
- final energy (eV/atom) = -5.162
- space group = No. 2
- E above lowest polymorph (eV per atom) = 0.0765
- DOS(E_F) (states/eV/f.u.) = 4.49

Record 22
Density functional theory data (PBE) for crystalline TbNdNi2 at its relaxed geometry.

Lattice parameters (Å, degrees): 3.994 3.994 6.883 73.14 73.14 60.00
Fractional positions:
Tb: 0.000 0.000 0.000
Ni: 0.747 0.747 0.760
Ni: 0.253 0.253 0.240
Nd: 0.500 0.500 0.500

- formation energy (eV per atom) = -0.184
- final energy (eV/atom) = -5.424
- space group = No. 166
- E above lowest polymorph (eV per atom) = 0.1920
- DOS(E_F) (states/eV/f.u.) = 2.30

Record 23
Density functional theory data (PBE) for crystalline TbNdNi2 at its relaxed geometry.

Lattice parameters (Å, degrees): 3.802 4.277 5.523 90.00 110.06 90.00
Fractional positions:
Ni: 0.152 0.500 0.843
Ni: 0.009 0.000 0.557
Nd: 0.723 0.000 0.986
Tb: 0.447 0.500 0.432

- formation energy (eV per atom) = -0.376
- final energy (eV/atom) = -5.616
- space group = No. 6
- E above lowest polymorph (eV per atom) = 0.0000
- DOS(E_F) (states/eV/f.u.) = 2.48

Record 24
Density functional theory data (PBE) for crystalline TbNdNi at its relaxed geometry.

Lattice parameters (Å, degrees): 3.913 3.913 6.365 90.00 90.00 120.00
Fractional positions:
Ni: 0.667 0.333 0.340
Tb: 0.333 0.667 0.577
Nd: 0.000 0.000 0.083

- formation energy (eV per atom) = -0.117
- final energy (eV/atom) = -5.177
- space group = No. 156
- E above lowest polymorph (eV per atom) = 0.0624
- DOS(E_F) (states/eV/f.u.) = 2.97